Material: Cs2MgBr6Cl
Method: DFT, PBE
State: optimized geometry

Values from the calculation:
As for the total magnetic moment: 1.00 Bohr magnetons per cell. The value obtained for the energy relative to the elements, uncorrected is -101 kJ/mol of atoms. As for the crystal system: tetragonal.

```
10
Lattice="-7.211 -2.948 -3.576 -0.525 -6.053 6.048 -6.781 -1.144 4.342" Properties=species:S:1:pos:R:3 pbc="T T T"
Cs -8.930 -4.296 1.001
Cs -5.587 -5.848 5.813
Mg -3.868 -4.500 1.236
Br -5.480 -2.643 2.955
Br -9.037 -7.502 3.859
Br -2.233 -2.599 0.714
Br -5.503 -6.402 1.758
Br -5.281 -3.844 -0.798
Br -2.455 -5.156 3.269
Cl 0.000 0.000 0.000
```